First-principles (PBE) data for a relaxed structure of HfReTcMo, as listed in the Alexandria database.

Results
- uncorrected energy (eV/atom) = -11.1398
- V (Å³ per atom) = 16.28
- ΔH_f (0 K) (kJ/mol of formula units) = -92.7

Unit cell a=6.3861 b=6.3861 c=6.3861 alpha=90.00 beta=90.00 gamma=90.00
Space group F-43m (No. 216)
Unique sites:
Hf (0.0000, 0.0000, 0.0000) (multiplicity 4)
Re (0.2500, 0.2500, 0.2500) (multiplicity 4)
Tc (0.2500, 0.2500, 0.7500) (multiplicity 4)
Mo (0.0000, 0.0000, 0.5000) (multiplicity 4)